No. 1
Entry from Alexandria: La2CdO after structural relaxation (GGA-PBE).

a = 5.181 Å, b = 5.181 Å, c = 5.181 Å
α = 60.00°, β = 60.00°, γ = 60.00°
Each line ends with the local moment (μB).
Fractional positions:
Cd: 0.500 0.500 0.500  0.01
La: 0.750 0.750 0.750  0.08
O: 0.000 0.000 0.000  0.01
La: 0.250 0.250 0.250  0.08

Properties
Energy relative to the elements, uncorrected ... -0.51 eV per atom
Excess energy over the best structure of this formula in the dataset ... 937 meV/atom
Total energy ... -4.438 eV per atom

***

No. 2
Entry from Alexandria: LaCd2O2 after structural relaxation (GGA-PBE).

a = 4.346 Å, b = 4.346 Å, c = 5.593 Å
α = 67.14°, β = 67.14°, γ = 90.00°
Each line ends with the local moment (μB).
Fractional positions:
O: 0.750 0.250 0.500  0.01
Cd: 0.647 0.647 0.705  0.02
La: 0.000 0.000 0.000  0.27
O: 0.250 0.750 0.500  0.01
Cd: 0.353 0.353 0.295  0.02

Properties
Energy relative to the elements, uncorrected ... -0.98 eV per atom
Excess energy over the best structure of this formula in the dataset ... 0 meV/atom
Total energy ... -4.316 eV per atom

***

No. 3
Entry from Alexandria: La6Cd2O after structural relaxation (GGA-PBE).

a = 7.287 Å, b = 7.300 Å, c = 10.267 Å
α = 90.00°, β = 89.83°, γ = 90.00°
Fractional positions:
La: 0.254 0.256 0.027
La: 0.255 0.745 0.027
La: 0.246 0.756 0.473
O: 0.500 0.500 0.000
La: 0.245 0.245 0.473
La: 0.745 0.255 0.973
La: 0.746 0.744 0.973
La: 0.555 0.500 0.243
Cd: 0.996 0.500 0.748
La: 0.754 0.244 0.527
Cd: 0.496 0.000 0.248
Cd: 0.504 0.000 0.752
Cd: 0.004 0.500 0.252
La: 0.445 0.500 0.757
O: 0.000 0.000 0.500
La: 0.755 0.755 0.527
La: 0.945 0.000 0.257
La: 0.055 0.000 0.743

Properties
Energy relative to the elements, uncorrected ... -0.71 eV per atom
Total energy ... -4.749 eV per atom

***

No. 4
Entry from Alexandria: La2CdO after structural relaxation (GGA-PBE).

a = 3.808 Å, b = 3.808 Å, c = 8.339 Å
α = 76.80°, β = 76.80°, γ = 60.00°
Each line ends with the local moment (μB).
Fractional positions:
La: 0.277 0.277 0.170  0.10
Cd: 0.500 0.500 0.500  0.05
La: 0.723 0.723 0.830  0.10
O: 0.000 0.000 0.000  0.02

Properties
Energy relative to the elements, uncorrected ... -1.41 eV per atom
Excess energy over the best structure of this formula in the dataset ... 29 meV/atom
Total energy ... -5.346 eV per atom

***

No. 5
Entry from Alexandria: La2CdO2 after structural relaxation (GGA-PBE).

a = 4.191 Å, b = 4.191 Å, c = 7.262 Å
α = 73.23°, β = 73.23°, γ = 90.00°
Fractional positions:
La: 0.663 0.663 0.675
O: 0.250 0.750 0.500
O: 0.750 0.250 0.500
Cd: 0.000 0.000 0.000
La: 0.337 0.337 0.325

Properties
Energy relative to the elements, uncorrected ... -2.40 eV per atom
Total energy ... -6.541 eV per atom

***

No. 6
Entry from Alexandria: LaCdO2 after structural relaxation (GGA-PBE).

a = 5.403 Å, b = 5.403 Å, c = 6.889 Å
α = 66.91°, β = 66.91°, γ = 90.00°
Fractional positions:
Cd: 0.500 0.500 0.000
O: 0.650 0.125 0.250
O: 0.375 0.350 0.750
O: 0.875 0.900 0.750
O: 0.100 0.625 0.250
La: 0.000 0.000 0.000
Cd: 0.250 0.750 0.500
La: 0.750 0.250 0.500

Properties
Energy relative to the elements, uncorrected ... -2.02 eV per atom
Total energy ... -5.958 eV per atom

***

No. 7
Entry from Alexandria: LaCd2O2 after structural relaxation (GGA-PBE).

a = 7.760 Å, b = 7.760 Å, c = 3.283 Å
α = 90.00°, β = 90.00°, γ = 90.00°
Fractional positions:
Cd: 0.885 0.615 0.000
O: 0.256 0.244 0.500
Cd: 0.385 0.885 0.000
La: 0.500 0.500 0.000
O: 0.244 0.744 0.500
O: 0.744 0.756 0.500
O: 0.756 0.256 0.500
Cd: 0.115 0.385 0.000
Cd: 0.615 0.115 0.000
La: 0.000 0.000 0.000

Properties
Energy relative to the elements, uncorrected ... -0.55 eV per atom
Excess energy over the best structure of this formula in the dataset ... 430 meV/atom
Total energy ... -3.886 eV per atom

***

No. 8
Entry from Alexandria: LaCd2OsO6 after structural relaxation (GGA-PBE).

a = 5.740 Å, b = 5.740 Å, c = 6.019 Å
α = 90.00°, β = 118.48°, γ = 120.00°
Each line ends with the local moment (μB).
Fractional positions:
O: 0.853 0.754 0.178  0.12
O: 0.545 0.899 0.719  0.07
O: 0.834 0.645 0.719  0.07
O: 0.438 0.099 0.178  0.12
O: 0.088 0.188 0.719  0.07
La: 0.008 0.503 0.497  0.05
Os: 0.989 0.994 0.968  2.02
Cd: 0.566 0.283 0.835  0.03
Cd: 0.550 0.775 0.311  0.04
O: 0.093 0.338 0.178  0.12

Properties
Energy relative to the elements, uncorrected ... -1.58 eV per atom
Total energy ... -6.355 eV per atom

***

No. 9
Entry from Alexandria: LaCdPO2 after structural relaxation (GGA-PBE).

a = 4.319 Å, b = 4.319 Å, c = 4.836 Å
α = 90.00°, β = 90.00°, γ = 90.00°
Fractional positions:
Cd: 0.000 0.000 0.000
O: 0.000 0.500 0.000
P: 0.000 0.000 0.500
La: 0.500 0.500 0.500
O: 0.500 0.000 0.000

Properties
Energy relative to the elements, uncorrected ... -0.79 eV per atom
Excess energy over the best structure of this formula in the dataset ... 77 meV/atom
Total energy ... -5.022 eV per atom

***

No. 10
Entry from Alexandria: LaCdPO2 after structural relaxation (GGA-PBE).

a = 4.254 Å, b = 4.254 Å, c = 6.398 Å
α = 90.00°, β = 90.00°, γ = 90.00°
Each line ends with the local moment (μB).
Fractional positions:
Cd: 0.500 0.500 0.500  0.00
P: 0.000 0.000 0.500  0.00
O: 0.000 0.500 0.000  0.20
O: 0.500 0.000 0.000  0.20
La: 0.000 0.000 0.000  0.14

Properties
Energy relative to the elements, uncorrected ... -0.87 eV per atom
Excess energy over the best structure of this formula in the dataset ... 0 meV/atom
Total energy ... -5.099 eV per atom

***

No. 11
Entry from Alexandria: LaPaCd2O6 after structural relaxation (GGA-PBE).

a = 5.893 Å, b = 5.893 Å, c = 6.262 Å
α = 61.93°, β = 61.93°, γ = 60.00°
Fractional positions:
Cd: 0.026 0.026 0.922
Pa: 0.318 0.318 0.047
O: 0.218 0.940 0.252
La: 0.810 0.810 0.570
O: 0.940 0.589 0.252
O: 0.124 0.409 0.773
O: 0.409 0.694 0.773
Cd: 0.533 0.533 0.400
O: 0.694 0.124 0.773
O: 0.589 0.218 0.252

Properties
Energy relative to the elements, uncorrected ... -2.54 eV per atom
Total energy ... -7.138 eV per atom

***

No. 12
Entry from Alexandria: LaPa2CdO8 after structural relaxation (GGA-PBE).

a = 5.540 Å, b = 5.540 Å, c = 6.681 Å
α = 114.50°, β = 114.50°, γ = 90.00°
Each line ends with the local moment (μB).
Fractional positions:
Pa: 0.250 0.750 0.500  0.02
O: 0.147 0.624 0.749  -0.06
O: 0.875 0.398 0.251  -0.06
La: 0.000 0.000 0.000  0.00
O: 0.602 0.623 0.749  -0.06
O: 0.147 0.125 0.749  -0.06
Cd: 0.750 0.250 0.500  -0.01
O: 0.602 0.125 0.749  -0.06
O: 0.875 0.853 0.251  -0.06
O: 0.376 0.398 0.251  -0.06
O: 0.377 0.853 0.251  -0.06
Pa: 0.500 0.500 0.000  0.01

Properties
Energy relative to the elements, uncorrected ... -2.98 eV per atom
Total energy ... -8.351 eV per atom